Entry 1:
# InGaSCl2 PBE optimized geometry
data_InGaSCl2
_cell_length_a 5.292
_cell_length_b 5.292
_cell_length_c 5.259
_cell_angle_alpha 90.00
_cell_angle_beta 90.00
_cell_angle_gamma 90.00
_space_group_name_H-M_alt 'P 1'
_space_group_IT_number 1
loop_
_space_group_symop_operation_xyz
'x,y,z'
loop_
_atom_site_label
_atom_site_type_symbol
_atom_site_fract_x
_atom_site_fract_y
_atom_site_fract_z
In1 In 0.000 0.000 0.000
Ga1 Ga 0.500 0.500 0.500
S1 S 0.000 0.000 0.500
Cl1 Cl 0.000 0.500 0.000
Cl2 Cl 0.500 0.000 0.000
# E: -0.2344 Ry per atom
# formation energy without anion corrections: -0.47 eV per atom
# polymorph energy (0 for the lowest one): 0.0936 eV/atom
# space-group type: No. 123

***

Entry 2:
# TbY3In4 PBE optimized geometry
data_TbY3In4
_cell_length_a 3.768
_cell_length_b 3.768
_cell_length_c 15.084
_cell_angle_alpha 90.00
_cell_angle_beta 90.00
_cell_angle_gamma 90.00
_space_group_name_H-M_alt 'P 1'
_space_group_IT_number 1
loop_
_space_group_symop_operation_xyz
'x,y,z'
loop_
_atom_site_label
_atom_site_type_symbol
_atom_site_fract_x
_atom_site_fract_y
_atom_site_fract_z
Tb1 Tb 0.000 0.000 0.000
Y1 Y 0.000 0.000 0.250
Y2 Y 0.000 0.000 0.500
Y3 Y 0.000 0.000 0.750
In1 In 0.500 0.500 0.126
In2 In 0.500 0.500 0.375
In3 In 0.500 0.500 0.625
In4 In 0.500 0.500 0.874
# E: -0.3576 Ry per atom
# space-group type: No. 123